# Tb3TmB2Pb2 | OQMD via LeMat-Bulk | PBE | relaxed
data_Tb3TmB2Pb2
_cell_length_a 3.6956
_cell_length_b 3.6956
_cell_length_c 16.7339
_cell_angle_alpha 90.00
_cell_angle_beta 90.00
_cell_angle_gamma 120.00
_symmetry_space_group_name_H-M 'P 3 m 1'
_symmetry_Int_Tables_number 156
loop_
_symmetry_equiv_pos_as_xyz
'x,y,z'
'-y,x-y,z'
'-x+y,-x,z'
'-y,-x,z'
'-x+y,y,z'
'x,x-y,z'
loop_
_atom_site_label
_atom_site_fract_x
_atom_site_fract_y
_atom_site_fract_z
Tb1 0.0000 0.0000 0.0000
Tb2 0.0000 0.0000 0.3226
Tb3 0.3333 0.6667 0.5044
Tm1 0.3333 0.6667 0.8241
B1 0.6667 0.3333 0.4135
B2 0.6667 0.3333 0.9104
Pb1 0.0000 0.0000 0.6658
Pb2 0.3333 0.6667 0.1618
# E ... -5.084 eV per atom

# LuZnCo | OQMD via LeMat-Bulk | PBE | relaxed
data_LuZnCo
_cell_length_a 6.086
_cell_length_b 6.086
_cell_length_c 6.086
_cell_angle_alpha 90.00
_cell_angle_beta 90.00
_cell_angle_gamma 90.00
_symmetry_space_group_name_H-M 'F -4 3 m'
_symmetry_Int_Tables_number 216
_symmetry_space_group_name_Hall 'F -4 2 3'
loop_
_atom_site_label
_atom_site_fract_x
_atom_site_fract_y
_atom_site_fract_z
Lu1 0.000 0.000 0.000
Zn1 0.250 0.250 0.750
Co1 0.000 0.000 0.500
# E ... -4.111 eV per atom

# BaNbRe | OQMD via LeMat-Bulk | PBE | relaxed
data_BaNbRe
_cell_length_a 6.614
_cell_length_b 6.614
_cell_length_c 6.614
_cell_angle_alpha 90.00
_cell_angle_beta 90.00
_cell_angle_gamma 90.00
_symmetry_space_group_name_H-M 'F -4 3 m'
_symmetry_Int_Tables_number 216
_symmetry_space_group_name_Hall 'F -4 2 3'
loop_
_atom_site_label
_atom_site_fract_x
_atom_site_fract_y
_atom_site_fract_z
Ba1 0.000 0.000 0.000
Nb1 0.250 0.250 0.750
Re1 0.250 0.250 0.250
# E ... -5.557 eV per atom
# Excess energy over the best structure of this formula in the dataset ... 125.4 kJ per mole of atoms

# PaFePd | OQMD via LeMat-Bulk | PBE | relaxed
data_PaFePd
_cell_length_a 6.262
_cell_length_b 6.262
_cell_length_c 6.262
_cell_angle_alpha 90.00
_cell_angle_beta 90.00
_cell_angle_gamma 90.00
_symmetry_space_group_name_H-M 'F -4 3 m'
_symmetry_Int_Tables_number 216
_symmetry_space_group_name_Hall 'F -4 2 3'
loop_
_atom_site_label
_atom_site_fract_x
_atom_site_fract_y
_atom_site_fract_z
Pa1 0.000 0.000 0.000
Fe1 0.250 0.250 0.750
Pd1 0.250 0.250 0.250
# E ... -7.321 eV per atom
# Excess energy over the best structure of this formula in the dataset ... 37.2 kJ per mole of atoms